Here is CeTe2O6 after structural relaxation from the Alexandria database. Energies are from PBE.

Lattice parameters (Å, degrees): 7.1270 11.3288 8.5948 90.00 124.82 90.00
Closest atoms and distances in Å follow each position.
Element x y z (fractional)
Ce (0.2392, 0.0913, 0.4990)  7 O 2.23-2.50
Ce (0.2392, 0.4087, 0.9990)  7 O 2.23-2.50
Ce (0.7608, 0.5913, 0.0010)  7 O 2.23-2.50
Ce (0.7608, 0.9087, 0.5010)  7 O 2.23-2.50
Te (0.2327, 0.0813, 0.9601)  3 O 1.90-1.93
Te (0.2327, 0.4187, 0.4601)  3 O 1.90-1.93
Te (0.3094, 0.7238, 0.0668)  3 O 1.91-1.92
Te (0.3094, 0.7762, 0.5668)  3 O 1.91-1.92
Te (0.6906, 0.2238, 0.4332)  3 O 1.91-1.92
Te (0.6906, 0.2762, 0.9332)  3 O 1.91-1.92
Te (0.7673, 0.5813, 0.5399)  3 O 1.90-1.93
Te (0.7673, 0.9187, 0.0399)  3 O 1.90-1.93
O (0.0212, 0.0225, 0.2033)  1 Te 1.93
O (0.0212, 0.4775, 0.7033)  1 Te 1.93
O (0.0619, 0.2243, 0.8745)  1 Te 1.90
O (0.0619, 0.2757, 0.3745)  1 Te 1.90
O (0.1107, 0.5980, 0.0386)  1 Te 1.92
O (0.1107, 0.9020, 0.5386)  1 Te 1.92
O (0.3653, 0.0962, 0.8189)  1 Te 1.92
O (0.3653, 0.4038, 0.3189)  1 Te 1.92
O (0.4738, 0.7475, 0.3335)  1 Te 1.91
O (0.4738, 0.7525, 0.8335)  1 Te 1.91
O (0.4953, 0.0984, 0.4107)  1 Te 1.92
O (0.4953, 0.4016, 0.9107)  1 Te 1.92
O (0.5047, 0.5984, 0.0893)  1 Te 1.92
O (0.5047, 0.9016, 0.5893)  1 Te 1.92
O (0.5262, 0.2475, 0.1665)  1 Te 1.91
O (0.5262, 0.2525, 0.6665)  1 Te 1.91
O (0.6347, 0.5962, 0.6811)  1 Te 1.92
O (0.6347, 0.9038, 0.1811)  1 Te 1.92
O (0.8893, 0.0980, 0.4614)  1 Te 1.92
O (0.8893, 0.4020, 0.9614)  1 Te 1.92
O (0.9381, 0.7243, 0.6255)  1 Te 1.90
O (0.9381, 0.7757, 0.1255)  1 Te 1.90
O (0.9788, 0.5225, 0.2967)  1 Te 1.93
O (0.9788, 0.9775, 0.7967)  1 Te 1.93

Output
E_tot: -233.6 eV for the cell shown
excess energy over the best structure of this formula in the dataset: 0.000 eV per atom
uncorrected formation energy: -1.83 eV per atom


Here is CeTe2O6 after structural relaxation from the Alexandria database. Energies are from PBE.

Lattice parameters (Å, degrees): 7.4847 7.4847 5.9967 99.29 99.29 105.22
Closest atoms and distances in Å follow each position.
Element x y z (fractional)
Ce (0.0900, 0.9100, 0.7500)  6 O 2.22-2.36
Ce (0.9100, 0.0900, 0.2500)  6 O 2.22-2.36
Te (0.2285, 0.4619, 0.8316)  3 O 1.91-2.14
Te (0.4619, 0.2285, 0.3316)  3 O 1.91-2.14
Te (0.5381, 0.7715, 0.6684)  3 O 1.91-2.14
Te (0.7715, 0.5381, 0.1684)  3 O 1.91-2.14
O (0.0671, 0.6218, 0.8162)  1 Te 1.91
O (0.0751, 0.1885, 0.6216)  1 Te 2.14, 2 Ce 2.27-2.36
O (0.1885, 0.0751, 0.1216)  1 Te 2.14, 2 Ce 2.27-2.36
O (0.3100, 0.5083, 0.5493)  2 Te 1.94-2.17
O (0.3782, 0.9329, 0.6838)  1 Te 1.91
O (0.4917, 0.6900, 0.9507)  2 Te 1.94-2.17
O (0.5083, 0.3100, 0.0493)  2 Te 1.94-2.17
O (0.6218, 0.0671, 0.3162)  1 Te 1.91
O (0.6900, 0.4917, 0.4507)  2 Te 1.94-2.17
O (0.8115, 0.9249, 0.8784)  1 Te 2.14, 2 Ce 2.27-2.36
O (0.9249, 0.8115, 0.3784)  1 Te 2.14, 2 Ce 2.27-2.36
O (0.9329, 0.3782, 0.1838)  1 Te 1.91

Output
E_tot: -115.4 eV for the cell shown
excess energy over the best structure of this formula in the dataset: 0.079 eV per atom
uncorrected formation energy: -1.75 eV per atom


Here is CeTeO5 after structural relaxation from the Alexandria database. Energies are from PBE.

Lattice parameters (Å, degrees): 5.5513 5.5513 7.6989 110.30 110.30 72.76
Closest atoms and distances in Å follow each position.
Element x y z (fractional)
Ce (0.0351, 0.9649, 0.7500)  4 O 2.13-2.32
Ce (0.9649, 0.0351, 0.2500)  4 O 2.13-2.32
Te (0.5000, 0.5000, 0.0000)  6 O 1.91-2.00
Te (0.5000, 0.5000, 0.5000)  6 O 1.91-2.00
O (0.1995, 0.7821, 0.0288)  1 Te 1.94
O (0.2179, 0.8005, 0.4712)  1 Te 1.94
O (0.2472, 0.2797, 0.3789)  1 Te 1.91, 1 Ce 2.13
O (0.2797, 0.2472, 0.8789)  1 Te 1.91, 1 Ce 2.13
O (0.4177, 0.5823, 0.7500)  2 Te 2.00
O (0.5823, 0.4177, 0.2500)  2 Te 2.00
O (0.7203, 0.7528, 0.1211)  1 Te 1.91, 1 Ce 2.13
O (0.7528, 0.7203, 0.6211)  1 Te 1.91, 1 Ce 2.13
O (0.7821, 0.1995, 0.5288)  1 Te 1.94
O (0.8005, 0.2179, 0.9712)  1 Te 1.94

Output
E_tot: -95.5 eV for the cell shown
uncorrected formation energy: -1.99 eV per atom